Below is a relaxed PmDy2Er2Tm2 crystal, with properties calculated at the PBE level.

abc: 6.1047 6.1047 7.8982
angles: 97.46 97.46 48.30
Element x y z (fractional)
Pm  0.0000  0.0000  0.0000
Dy  0.1427  0.1427  0.4299
Dy  0.8573  0.8573  0.5701
Er  0.4282  0.4282  0.2862
Er  0.5718  0.5718  0.7138
Tm  0.2856  0.2856  0.8567
Tm  0.7144  0.7144  0.1433

Calculated values
Crystal system: monoclinic
Space group: C2/m (12)
Total DFT energy (no corrections) (eV per atom): -4.553

***

Below is a relaxed Pm2Dy4Er2Tm crystal, with properties calculated at the PBE level.

abc: 9.4636 9.4636 9.5186
angles: 115.21 115.21 21.83
Element x y z (fractional)
Pm  0.1654  0.1654  0.4980
Pm  0.8346  0.8346  0.5020
Dy  0.0192  0.0192  0.8348
Dy  0.3144  0.3144  0.1650
Dy  0.6856  0.6856  0.8350
Dy  0.9808  0.9808  0.1652
Er  0.3529  0.3529  0.8369
Er  0.6471  0.6471  0.1631
Tm  0.5000  0.5000  0.5000

Calculated values
Crystal system: monoclinic
Space group: C2/m (12)
Total DFT energy (no corrections) (eV per atom): -4.614

***

Below is a relaxed PmDy5ErTm2 crystal, with properties calculated at the PBE level.

abc: 10.2873 10.2873 10.5642
angles: 90.00 90.00 148.62
Element x y z (fractional)
Pm  0.2006  0.7994  0.5000
Pm  0.7994  0.2006  0.0000
Dy  0.0173  0.9827  0.5145
Dy  0.2817  0.7183  0.7955
Dy  0.3002  0.6998  0.1957
Dy  0.3931  0.6069  0.5130
Dy  0.4786  0.5214  0.2272
Dy  0.5214  0.4786  0.7272
Dy  0.6069  0.3931  0.0130
Dy  0.6998  0.3002  0.6957
Dy  0.7183  0.2817  0.2955
Dy  0.9827  0.0173  0.0145
Er  0.4135  0.5865  0.9442
Er  0.5865  0.4135  0.4442
Tm  0.1086  0.8914  0.2279
Tm  0.1136  0.8864  0.8070
Tm  0.8864  0.1136  0.3070
Tm  0.8914  0.1086  0.7279

Calculated values
Crystal system: orthorhombic
Space group: Cmc2_1 (36)
Total DFT energy (no corrections) (eV per atom): -4.428

***

Below is a relaxed Pm6Dy3ErTm2 crystal, with properties calculated at the PBE level.

abc: 6.2217 6.2217 11.7763
angles: 95.04 95.04 119.99
Element x y z (fractional)
Pm  0.0831  0.4165  0.7514
Pm  0.2500  0.2500  0.2487
Pm  0.4165  0.0831  0.7514
Pm  0.5835  0.9169  0.2486
Pm  0.7500  0.7500  0.7513
Pm  0.9169  0.5835  0.2486
Dy  0.0000  0.0000  0.5000
Dy  0.3332  0.6668  0.5000
Dy  0.6668  0.3332  0.5000
Er  0.5000  0.5000  0.0000
Tm  0.1666  0.8334  0.0000
Tm  0.8334  0.1666  0.0000

Calculated values
Crystal system: monoclinic
Space group: C2/m (12)
Total DFT energy (no corrections) (eV per atom): -4.638

***

Below is a relaxed Pm5Dy2ErTm crystal, with properties calculated at the PBE level.

abc: 10.5055 10.5055 10.6470
angles: 90.00 90.00 148.98
Element x y z (fractional)
Pm  0.0164  0.9836  0.5000
Pm  0.2796  0.7204  0.7954
Pm  0.2981  0.7019  0.1902
Pm  0.3839  0.6161  0.5038
Pm  0.4830  0.5170  0.2264
Pm  0.5170  0.4830  0.7264
Pm  0.6161  0.3839  0.0038
Pm  0.7019  0.2981  0.6902
Pm  0.7204  0.2796  0.2954
Pm  0.9836  0.0164  0.0000
Dy  0.1123  0.8877  0.2211
Dy  0.1143  0.8857  0.7933
Dy  0.8857  0.1143  0.2933
Dy  0.8877  0.1123  0.7211
Er  0.4080  0.5920  0.9458
Er  0.5920  0.4080  0.4458
Tm  0.1984  0.8016  0.4938
Tm  0.8016  0.1984  0.9938

Calculated values
Crystal system: orthorhombic
Space group: Cmc2_1 (36)
Total DFT energy (no corrections) (eV per atom): -4.522

***

Below is a relaxed PmDy2ErTm4 crystal, with properties calculated at the PBE level.

abc: 9.4320 9.4320 9.4320
angles: 138.16 103.68 91.06
Element x y z (fractional)
Pm  0.0000  0.0000  0.0000
Pm  0.5000  0.0000  0.5000
Dy  0.0000  0.5000  0.5000
Dy  0.5000  0.0000  0.0000
Dy  0.5000  0.5000  0.0000
Dy  0.5000  0.5000  0.5000
Er  0.0000  0.0000  0.5000
Er  0.0000  0.5000  0.0000
Tm  0.2481  0.7490  0.4991
Tm  0.2490  0.2498  0.5008
Tm  0.2490  0.7481  0.9992
Tm  0.2501  0.2510  0.9991
Tm  0.7499  0.7490  0.0009
Tm  0.7510  0.2519  0.0008
Tm  0.7510  0.7502  0.4992
Tm  0.7519  0.2510  0.5009

Calculated values
Crystal system: orthorhombic
Space group: Imma (74)
Total DFT energy (no corrections) (eV per atom): -4.102

***

Below is a relaxed Pm4Dy2ErTm crystal, with properties calculated at the PBE level.

abc: 6.2130 3.5945 11.8103
angles: 90.00 100.20 90.00
Element x y z (fractional)
Pm  0.2492  0.0000  0.2496
Pm  0.2500  0.5000  0.7489
Pm  0.7500  0.5000  0.2511
Pm  0.7508  0.0000  0.7504
Dy  0.5000  0.0000  0.0000
Dy  0.5000  0.5000  0.5000
Er  0.0000  0.5000  0.0000
Tm  0.0000  0.0000  0.5000

Calculated values
Crystal system: monoclinic
Space group: P2/m (10)
Total DFT energy (no corrections) (eV per atom): -4.639

***

Below is a relaxed PmDy6Er2Tm crystal, with properties calculated at the PBE level.

abc: 8.7454 8.7454 9.4782
angles: 93.55 93.55 117.65
Element x y z (fractional)
Pm  0.0255  0.9745  0.7500
Pm  0.9745  0.0255  0.2500
Dy  0.0156  0.5650  0.6837
Dy  0.1233  0.7522  0.0563
Dy  0.2478  0.8767  0.4437
Dy  0.2915  0.5088  0.8816
Dy  0.4350  0.9844  0.8163
Dy  0.4912  0.7085  0.6184
Dy  0.5088  0.2915  0.3816
Dy  0.5650  0.0156  0.1837
Dy  0.7085  0.4912  0.1184
Dy  0.7522  0.1233  0.5563
Dy  0.8767  0.2478  0.9437
Dy  0.9844  0.4350  0.3163
Er  0.2001  0.3050  0.5465
Er  0.3050  0.2001  0.0465
Er  0.6950  0.7999  0.9535
Er  0.7999  0.6950  0.4535
Tm  0.4100  0.5900  0.2500
Tm  0.5900  0.4100  0.7500

Calculated values
Crystal system: monoclinic
Space group: C2/c (15)
Total DFT energy (no corrections) (eV per atom): -4.476

***

Below is a relaxed PmDyEr2Tm5 crystal, with properties calculated at the PBE level.

abc: 10.1743 10.1743 10.4795
angles: 90.00 90.00 148.40
Element x y z (fractional)
Pm  0.0836  0.9164  0.5000
Pm  0.9164  0.0836  0.0000
Dy  0.2997  0.7003  0.0596
Dy  0.7003  0.2997  0.5596
Er  0.3871  0.6129  0.3664
Er  0.3898  0.6102  0.7833
Er  0.6102  0.3898  0.2833
Er  0.6129  0.3871  0.8664
Tm  0.0216  0.9784  0.7838
Tm  0.1109  0.8891  0.0700
Tm  0.2010  0.7990  0.7578
Tm  0.2183  0.7817  0.3584
Tm  0.4819  0.5181  0.0733
Tm  0.5181  0.4819  0.5733
Tm  0.7817  0.2183  0.8584
Tm  0.7990  0.2010  0.2578
Tm  0.8891  0.1109  0.5700
Tm  0.9784  0.0216  0.2838

Calculated values
Crystal system: orthorhombic
Space group: Cmc2_1 (36)
Total DFT energy (no corrections) (eV per atom): -4.373

***

Below is a relaxed Pm2DyEr5Tm crystal, with properties calculated at the PBE level.

abc: 9.8494 9.8494 9.8494
angles: 128.43 128.43 75.92
Element x y z (fractional)
Pm  0.1172  0.6172  0.7343
Pm  0.3828  0.1172  0.5000
Pm  0.6172  0.8828  0.5000
Pm  0.8828  0.3828  0.2657
Dy  0.2500  0.2500  0.0000
Dy  0.7500  0.7500  0.0000
Er  0.0000  0.0000  0.0000
Er  0.0725  0.1473  0.5000
Er  0.1473  0.6473  0.0748
Er  0.3527  0.4275  0.5000
Er  0.4275  0.9275  0.0748
Er  0.5000  0.5000  0.0000
Er  0.5725  0.0725  0.9252
Er  0.6473  0.5725  0.5000
Er  0.8527  0.3527  0.9252
Er  0.9275  0.8527  0.5000
Tm  0.2500  0.7500  0.5000
Tm  0.7500  0.2500  0.5000

Calculated values
Crystal system: tetragonal
Space group: I4/mcm (140)
Total DFT energy (no corrections) (eV per atom): -4.319

***

Below is a relaxed PmDyEr5Tm2 crystal, with properties calculated at the PBE level.

abc: 10.2068 10.2068 10.4772
angles: 90.00 90.00 148.44
Element x y z (fractional)
Pm  0.0840  0.9160  0.5000
Pm  0.9160  0.0840  0.0000
Dy  0.3003  0.6997  0.0608
Dy  0.6997  0.3003  0.5608
Er  0.0218  0.9782  0.7852
Er  0.1111  0.8889  0.0717
Er  0.2011  0.7989  0.7581
Er  0.2187  0.7813  0.3602
Er  0.4822  0.5178  0.0738
Er  0.5178  0.4822  0.5738
Er  0.7813  0.2187  0.8602
Er  0.7989  0.2011  0.2581
Er  0.8889  0.1111  0.5717
Er  0.9782  0.0218  0.2852
Tm  0.3868  0.6132  0.3673
Tm  0.3897  0.6103  0.7850
Tm  0.6103  0.3897  0.2850
Tm  0.6132  0.3868  0.8673

Calculated values
Crystal system: orthorhombic
Space group: Cmc2_1 (36)
Total DFT energy (no corrections) (eV per atom): -4.403

***

Below is a relaxed Pm6Dy2ErTm crystal, with properties calculated at the PBE level.

abc: 8.8968 8.8968 9.6089
angles: 93.90 93.90 117.84
Element x y z (fractional)
Pm  0.0117  0.5664  0.1876
Pm  0.1196  0.7608  0.5544
Pm  0.2392  0.8804  0.9456
Pm  0.2912  0.5072  0.3814
Pm  0.4336  0.9883  0.3124
Pm  0.4928  0.7088  0.1186
Pm  0.5072  0.2912  0.8814
Pm  0.5664  0.0117  0.6876
Pm  0.7088  0.4928  0.6186
Pm  0.7608  0.1196  0.0544
Pm  0.8804  0.2392  0.4456
Pm  0.9883  0.4336  0.8124
Dy  0.2002  0.2992  0.0451
Dy  0.2992  0.2002  0.5451
Dy  0.7008  0.7998  0.4549
Dy  0.7998  0.7008  0.9549
Er  0.0260  0.9740  0.2500
Er  0.9740  0.0260  0.7500
Tm  0.4104  0.5896  0.7500
Tm  0.5896  0.4104  0.2500

Calculated values
Crystal system: monoclinic
Space group: C2/c (15)
Total DFT energy (no corrections) (eV per atom): -4.557

***

Below is a relaxed PmDy2Y2Er crystal, with properties calculated at the PBE level.

abc: 6.6416 17.5992 3.3808
angles: 90.00 90.00 90.00
Element x y z (fractional)
Pm  0.0000  0.0000  0.0000
Pm  0.5000  0.5000  0.5000
Dy  0.2379  0.1766  0.0000
Dy  0.2621  0.6766  0.5000
Dy  0.7379  0.3234  0.5000
Dy  0.7621  0.8234  0.0000
Y  0.2332  0.3474  0.5000
Y  0.2668  0.8474  0.0000
Y  0.7332  0.1526  0.0000
Y  0.7668  0.6526  0.5000
Er  0.0000  0.5000  0.0000
Er  0.5000  0.0000  0.5000

Calculated values
Crystal system: orthorhombic
Space group: Pnnm (58)
Total DFT energy (no corrections) (eV per atom): -4.952

***

Below is a relaxed Pm2DyY4Er2 crystal, with properties calculated at the PBE level.

abc: 9.5262 9.5262 9.5798
angles: 115.27 115.27 21.82
Element x y z (fractional)
Pm  0.1485  0.1485  0.1673
Pm  0.8515  0.8515  0.8327
Dy  0.0000  0.0000  0.5000
Y  0.1849  0.1849  0.8317
Y  0.4814  0.4814  0.1687
Y  0.5186  0.5186  0.8313
Y  0.8151  0.8151  0.1683
Er  0.3333  0.3333  0.4995
Er  0.6667  0.6667  0.5005

Calculated values
Crystal system: monoclinic
Space group: C2/m (12)
Total DFT energy (no corrections) (eV per atom): -5.446

***

Below is a relaxed Pm3Dy2YEr6 crystal, with properties calculated at the PBE level.

abc: 6.1612 6.1612 11.7392
angles: 95.00 95.00 119.97
Element x y z (fractional)
Pm  0.0000  0.0000  0.0000
Pm  0.3333  0.6667  0.0000
Pm  0.6667  0.3333  0.0000
Dy  0.1666  0.8334  0.5000
Dy  0.8334  0.1666  0.5000
Y  0.5000  0.5000  0.5000
Er  0.0830  0.4170  0.2524
Er  0.2490  0.2490  0.7477
Er  0.4170  0.0830  0.2524
Er  0.5830  0.9170  0.7476
Er  0.7510  0.7510  0.2523
Er  0.9170  0.5830  0.7476

Calculated values
Crystal system: monoclinic
Space group: C2/m (12)
Total DFT energy (no corrections) (eV per atom): -4.755

***

Below is a relaxed PmDyYEr2 crystal, with properties calculated at the PBE level.

abc: 8.8753 8.8753 6.3752
angles: 90.00 90.00 137.87
Element x y z (fractional)
Pm  0.1576  0.8424  0.7500
Pm  0.8424  0.1576  0.2500
Dy  0.3446  0.6554  0.7500
Dy  0.6554  0.3446  0.2500
Y  0.2478  0.7522  0.2500
Y  0.7522  0.2478  0.7500
Er  0.2497  0.2497  0.0000
Er  0.2497  0.2497  0.5000
Er  0.7503  0.7503  0.0000
Er  0.7503  0.7503  0.5000

Calculated values
Crystal system: orthorhombic
Space group: Cmcm (63)
Total DFT energy (no corrections) (eV per atom): -4.638

***

Below is a relaxed Pm5DyY2Er crystal, with properties calculated at the PBE level.

abc: 10.5289 10.5289 10.6546
angles: 90.00 90.00 148.77
Element x y z (fractional)
Pm  0.0185  0.9815  0.5000
Pm  0.1123  0.8877  0.7789
Pm  0.2024  0.7976  0.4626
Pm  0.2189  0.7811  0.0686
Pm  0.4821  0.5179  0.7760
Pm  0.5179  0.4821  0.2760
Pm  0.7811  0.2189  0.5686
Pm  0.7976  0.2024  0.9626
Pm  0.8877  0.1123  0.2789
Pm  0.9815  0.0185  0.0000
Dy  0.0904  0.9096  0.2179
Dy  0.9096  0.0904  0.7179
Y  0.3847  0.6153  0.0715
Y  0.3880  0.6120  0.4932
Y  0.6120  0.3880  0.9932
Y  0.6153  0.3847  0.5715
Er  0.3002  0.6998  0.7672
Er  0.6998  0.3002  0.2672

Calculated values
Crystal system: orthorhombic
Space group: Cmc2_1 (36)
Total DFT energy (no corrections) (eV per atom): -4.952

***

Below is a relaxed Pm2DyYEr6 crystal, with properties calculated at the PBE level.

abc: 8.7447 8.7447 9.6117
angles: 94.45 94.45 118.33
Element x y z (fractional)
Pm  0.1935  0.3003  0.0427
Pm  0.3003  0.1935  0.5427
Pm  0.6997  0.8065  0.4573
Pm  0.8065  0.6997  0.9573
Dy  0.4073  0.5927  0.7500
Dy  0.5927  0.4073  0.2500
Y  0.0190  0.9810  0.2500
Y  0.9810  0.0190  0.7500
Er  0.0232  0.5751  0.1864
Er  0.1268  0.7454  0.5572
Er  0.2546  0.8732  0.9428
Er  0.2905  0.5015  0.3807
Er  0.4249  0.9768  0.3136
Er  0.4985  0.7095  0.1193
Er  0.5015  0.2905  0.8807
Er  0.5751  0.0232  0.6864
Er  0.7095  0.4985  0.6193
Er  0.7454  0.1268  0.0572
Er  0.8732  0.2546  0.4428
Er  0.9768  0.4249  0.8136

Calculated values
Crystal system: monoclinic
Space group: C2/c (15)
Total DFT energy (no corrections) (eV per atom): -4.678

***

Below is a relaxed PmDy2Y4Er2 crystal, with properties calculated at the PBE level.

abc: 9.4955 9.4955 9.5407
angles: 115.25 115.25 21.80
Element x y z (fractional)
Pm  0.0000  0.0000  0.0000
Dy  0.1486  0.1486  0.6677
Dy  0.8514  0.8514  0.3323
Y  0.1859  0.1859  0.3339
Y  0.4812  0.4812  0.6645
Y  0.5188  0.5188  0.3355
Y  0.8141  0.8141  0.6661
Er  0.3321  0.3321  0.0003
Er  0.6679  0.6679  0.9997

Calculated values
Crystal system: monoclinic
Space group: C2/m (12)
Total DFT energy (no corrections) (eV per atom): -5.437

***

Calculated formation energy (meV per atom)
22, -2, 157, 14, 144, 449, 16, 120, 164, 280, 165, 117, 289, 8, 20, 350, 143, 116, 1